[1]
DFT (PBE) results for a relaxed structure of Tl2CrBr.

POSCAR file:
```
Tl2CrBr
1.0
3.8631 0.0000 0.0000
0.0000 5.8035 0.0000
0.0000 0.0000 9.9135
Tl Cr Br
4 2 2
Direct
0.0000 0.0000 0.0000 Tl
0.0000 0.5000 0.2784 Tl
0.5000 0.0000 0.2784 Tl
0.5000 0.5000 0.0000 Tl
0.0000 0.5000 0.7765 Cr
0.5000 0.0000 0.7765 Cr
0.0000 0.0000 0.6077 Br
0.5000 0.5000 0.6077 Br
```

VASP energy   -31.22 eV for the cell shown
ΔE_f (raw)   105 meV per atom
Space group   Cmm2 (35)
Magnetization   8.28 μB per cell

[2]
DFT (PBE) results for a relaxed structure of TlCrBr4.

POSCAR file:
```
TlCrBr4
1.0
8.5133 -3.7439 0.0000
8.5133 3.7439 0.0000
-2.1077 0.0000 7.1020
Tl Cr Br
2 2 8
Direct
0.2288 0.2288 0.2645 Tl
0.7712 0.7712 0.7355 Tl
0.4190 0.4190 0.7686 Cr
0.5810 0.5810 0.2314 Cr
0.1470 0.6144 0.5301 Br
0.2743 0.7257 0.0000 Br
0.2972 0.2972 0.8692 Br
0.3856 0.8530 0.4699 Br
0.6144 0.1470 0.5301 Br
0.7028 0.7028 0.1308 Br
0.7257 0.2743 0.0000 Br
0.8530 0.3856 0.4699 Br
```

VASP energy   -46.15 eV for the cell shown
ΔE_f (raw)   -733 meV per atom
Space group   C2/m (12)
Magnetization   6.00 μB per cell

Copy entry 2 word for word.
DFT (PBE) results for a relaxed structure of TlCrBr4.

POSCAR file:
```
TlCrBr4
1.0
8.5133 -3.7439 0.0000
8.5133 3.7439 0.0000
-2.1077 0.0000 7.1020
Tl Cr Br
2 2 8
Direct
0.2288 0.2288 0.2645 Tl
0.7712 0.7712 0.7355 Tl
0.4190 0.4190 0.7686 Cr
0.5810 0.5810 0.2314 Cr
0.1470 0.6144 0.5301 Br
0.2743 0.7257 0.0000 Br
0.2972 0.2972 0.8692 Br
0.3856 0.8530 0.4699 Br
0.6144 0.1470 0.5301 Br
0.7028 0.7028 0.1308 Br
0.7257 0.2743 0.0000 Br
0.8530 0.3856 0.4699 Br
```

VASP energy   -46.15 eV for the cell shown
ΔE_f (raw)   -733 meV per atom
Space group   C2/m (12)
Magnetization   6.00 μB per cell